(1)
BaPa2CuS8: relaxed, PBE.

Properties
Crystal system: trigonal

a b c (Å): 5.9266 5.9266 8.6228
angles (deg): 90.00 90.00 120.00
Sites, in units of the cell vectors:
Ba 0.0000 0.0000 0.5000
Pa 0.6667 0.3333 0.1252
Pa 0.3333 0.6667 0.8748
Cu 0.0000 0.0000 0.0000
S 0.8233 0.6466 0.8382
S 0.3534 0.1767 0.8382
S 0.8233 0.1767 0.8382
S 0.1767 0.3534 0.1618
S 0.6466 0.8233 0.1618
S 0.1767 0.8233 0.1618
S 0.6667 0.3333 0.4121
S 0.3333 0.6667 0.5879


(2)
BaPa3Cu4S12: relaxed, PBE.

Properties
Crystal system: trigonal

a b c (Å): 8.5320 8.5320 8.5320
angles (deg): 105.24 105.24 105.24
Sites, in units of the cell vectors:
Ba 0.0000 0.0000 0.0000
Pa 0.5590 0.4410 0.0000
Pa 0.4410 0.0000 0.5590
Pa 0.0000 0.5590 0.4410
Cu 0.9299 0.0701 0.5000
Cu 0.0701 0.5000 0.9299
Cu 0.5000 0.9299 0.0701
Cu 0.5000 0.5000 0.5000
S 0.5000 0.3388 0.6612
S 0.9048 0.5000 0.0952
S 0.0952 0.9048 0.5000
S 0.5000 0.0952 0.9048
S 0.3495 0.9759 0.2375
S 0.2375 0.3495 0.9759
S 0.9759 0.2375 0.3495
S 0.6505 0.7625 0.0241
S 0.0241 0.6505 0.7625
S 0.7625 0.0241 0.6505
S 0.6612 0.5000 0.3388
S 0.3388 0.6612 0.5000


(3)
Ba2PaCu2S6: relaxed, PBE.

Properties
Crystal system: trigonal

a b c (Å): 7.2790 7.2790 7.6142
angles (deg): 61.45 61.45 60.00
Sites, in units of the cell vectors:
Ba 0.7745 0.7745 0.6764
Ba 0.2255 0.2255 0.3236
Pa 0.0000 0.0000 0.0000
Cu 0.4261 0.4261 0.7216
Cu 0.5739 0.5739 0.2784
S 0.7524 0.7524 0.2618
S 0.2334 0.7524 0.2618
S 0.7524 0.2334 0.2618
S 0.2476 0.7666 0.7382
S 0.7666 0.2476 0.7382
S 0.2476 0.2476 0.7382


(4)
Ba2PaCuS5: relaxed, PBE.

Properties
Crystal system: orthorhombic

a b c (Å): 4.1475 9.1873 12.8839
angles (deg): 90.00 90.00 103.05
Sites, in units of the cell vectors:
Ba 0.8835 0.7671 0.8286
Ba 0.1103 0.2206 0.6915
Ba 0.1165 0.2329 0.3286
Ba 0.8897 0.7794 0.1915
Pa 0.8030 0.6060 0.5186
Pa 0.1970 0.3940 0.0186
Cu 0.5697 0.1395 0.9319
Cu 0.4303 0.8605 0.4319
S 0.3429 0.6858 0.0118
S 0.6965 0.3930 0.8805
S 0.5025 0.0049 0.7804
S 0.2959 0.5918 0.6562
S 0.9457 0.8914 0.5245
S 0.6571 0.3142 0.5118
S 0.3035 0.6070 0.3805
S 0.4975 0.9951 0.2804
S 0.7041 0.4082 0.1562
S 0.0543 0.1086 0.0245


For the records above, the corresponding ΔE_f (raw) values read -13.3, -19.1, -14.0, -14.7 eV/f.u..